# CeAsP

A geometry-optimized CeAsP structure (GGA-PBE, Alexandria).

a b c (Å): 5.895 5.062 8.520
angles (deg): 90.00 90.00 90.00
Positions (direct):
P1 0.250 0.885 0.366
As1 0.000 0.500 0.500
Ce1 0.250 0.397 0.180
As2 0.000 0.000 0.000
As3 0.500 0.500 0.500
P2 0.250 0.615 0.866
P3 0.750 0.115 0.634
Ce2 0.750 0.603 0.820
As4 0.500 0.000 0.000
Ce3 0.250 0.103 0.680
P4 0.750 0.385 0.134
Ce4 0.750 0.897 0.320

Values from the calculation:
SG: No. 62
total moment: 0.0 μB per cell
formation energy from the elements: -0.947 eV/atom